Entry from Alexandria via LeMat-Bulk: CaSi3 after structural relaxation (GGA-PBE).

POSCAR file:
```
CaSi3
1.0
-2.023 2.033 4.360
2.023 -2.033 4.360
2.023 2.033 -4.360
Ca Si
1 3
direct
0.000 0.000 0.000
0.250 0.750 0.500
0.500 0.500 0.000
0.750 0.250 0.500
```

* D(E_F): 1.43 states/eV per cell
* formation energy (no corrections): 123.7 meV per atom